Crystalline Zr2TiCrPb at its relaxed geometry, computed with PBE.

Structure (POSCAR):
```
Zr2TiCrPb
1.0
4.9782 0.0000 0.0000
0.0000 4.9782 0.0000
0.0000 0.0000 4.4243
Zr Ti Cr Pb
2 1 1 1
Direct
0.0000 0.5000 0.0000
0.5000 0.0000 0.0000
0.0000 0.0000 0.5000
0.0000 0.0000 0.0000
0.5000 0.5000 0.5000
```

Energy relative to the elements ... 376 meV per atom
Volume ... 110 Å³/cell
Total magnetization ... 0.95 Bohr magnetons per cell
Space group ... No. 123